Record 1
Density functional theory data (PBE) for a geometry-optimized Tb2Pr2NdTm2 structure.

Results
The space-group type is No. 12. Its total magnetization is 0.0000 μB/atom. For the calculated formation energy, the calculation gives 0.9 eV/f.u.

a = 3.4901 Å, b = 8.6840 Å, c = 8.8395 Å
α = 116.06°, β = 90.00°, γ = 101.59°
With the nearest neighbours (Å) after each atom.
Positions (direct):
Tb 0.0790 0.1581 0.2044  3 Tb 3.40-3.49, 1 Nd 3.43, 3 Tm 3.47-3.54, 4 Pr 3.63-3.78
Tb 0.9210 0.8419 0.7956  3 Tb 3.40-3.49, 1 Nd 3.43, 3 Tm 3.47-3.54, 4 Pr 3.63-3.78
Tm 0.2239 0.4477 0.6432  1 Nd 3.43, 3 Tb 3.47-3.54, 4 Tm 3.49-3.50, 3 Pr 3.58-3.72
Tm 0.7761 0.5523 0.3568  1 Nd 3.43, 3 Tb 3.47-3.54, 4 Tm 3.49-3.50, 3 Pr 3.58-3.72
Nd 0.0000 0.0000 0.5000  2 Tm 3.43, 2 Tb 3.43, 2 Nd 3.49, 4 Pr 3.74
Pr 0.3627 0.7254 0.0905  4 Pr 3.49-3.85, 3 Tm 3.58-3.72, 4 Tb 3.63-3.78, 2 Nd 3.74
Pr 0.6373 0.2746 0.9095  4 Pr 3.49-3.85, 3 Tm 3.58-3.72, 4 Tb 3.63-3.78, 2 Nd 3.74

Record 2
Density functional theory data (PBE) for a geometry-optimized TbPr2Nd5Tm structure.

Results
The space-group type is No. 140. Its total magnetization is 0.0000 μB/atom. For the calculated formation energy, the calculation gives 2.4 eV/f.u.

a = 8.6529 Å, b = 8.6529 Å, c = 10.4128 Å
α = 114.55°, β = 114.55°, γ = 90.00°
With the nearest neighbours (Å) after each atom.
Positions (direct):
Tb 0.7500 0.7500 0.5000  8 Nd 3.56
Tb 0.2500 0.2500 0.5000  8 Nd 3.56
Nd 0.8633 0.9250 0.2882  1 Pr 3.11, 1 Tm 3.22
Nd 0.0750 0.5750 0.7118  1 Pr 3.11, 1 Tm 3.22
Nd 0.1367 0.0750 0.7118  1 Pr 3.11, 1 Tm 3.22
Nd 0.4250 0.3633 0.2882  1 Pr 3.11, 1 Tm 3.22
Nd 0.5000 0.5000 0.0000  4 Pr 3.44
Nd 0.5750 0.6367 0.7118  1 Pr 3.11, 1 Tm 3.22
Nd 0.3633 0.8633 0.2882  1 Pr 3.11, 1 Tm 3.22
Nd 0.0000 0.0000 0.0000  4 Pr 3.44
Nd 0.6367 0.1367 0.7118  1 Pr 3.11, 1 Tm 3.22
Nd 0.9250 0.4250 0.2882  1 Pr 3.11, 1 Tm 3.22
Pr 0.8779 0.6221 0.0000  1 Pr 2.99, 2 Nd 3.11
Pr 0.1221 0.3779 0.0000  1 Pr 2.99, 2 Nd 3.11
Pr 0.6221 0.1221 0.0000  1 Pr 2.99, 2 Nd 3.11
Pr 0.3779 0.8779 0.0000  1 Pr 2.99, 2 Nd 3.11
Tm 0.2500 0.7500 0.5000  4 Nd 3.22
Tm 0.7500 0.2500 0.5000  4 Nd 3.22

Record 3
Density functional theory data (PBE) for a geometry-optimized TbPrNd5Tm2 structure.

Results
The space-group type is No. 36. Its total magnetization is 0.0000 μB/atom. For the calculated formation energy, the calculation gives 1.3 eV/f.u.

a = 5.6729 Å, b = 10.5820 Å, c = 10.7975 Å
α = 90.00°, β = 90.00°, γ = 105.55°
With the nearest neighbours (Å) after each atom.
Positions (direct):
Tb 0.4117 0.8234 0.4558  5 Nd 3.09-3.38
Tb 0.5883 0.1766 0.9558  5 Nd 3.09-3.38
Nd 0.3919 0.7837 0.0260  5 Nd 3.52-3.81, 4 Tm 3.62-3.65, 1 Pr 3.88
Nd 0.2961 0.5921 0.7029  3 Nd 3.44-3.75, 3 Pr 3.53-3.82, 1 Tb 3.56, 3 Tm 3.57-3.82
Nd 0.0165 0.0329 0.0233  2 Tb 3.27, 3 Tm 3.47-3.61
Nd 0.2820 0.5640 0.3079  1 Tb 3.09, 1 Tm 3.37, 2 Nd 3.44
Nd 0.5212 0.0424 0.2421  2 Tb 3.21-3.38, 2 Nd 3.52-3.54, 2 Tm 3.54
Nd 0.9835 0.9671 0.5233  2 Tb 3.27, 3 Tm 3.47-3.61
Nd 0.7180 0.4360 0.8079  1 Tb 3.09, 1 Tm 3.37, 2 Nd 3.44
Nd 0.6081 0.2163 0.5260  5 Nd 3.52-3.81, 4 Tm 3.62-3.65, 1 Pr 3.88
Nd 0.7039 0.4079 0.2029  3 Nd 3.44-3.75, 3 Pr 3.53-3.82, 1 Tb 3.56, 3 Tm 3.57-3.82
Nd 0.4788 0.9576 0.7421  2 Tb 3.21-3.38, 2 Nd 3.52-3.54, 2 Tm 3.54
Tm 0.1167 0.2334 0.3177  8 Nd 3.37-3.62, 1 Pr 3.76
Tm 0.8905 0.7810 0.2394  1 Pr 3.47, 7 Nd 3.47-3.82, 2 Tb 3.70
Tm 0.1095 0.2190 0.7394  1 Pr 3.47, 7 Nd 3.47-3.82, 2 Tb 3.70
Tm 0.8833 0.7666 0.8177  8 Nd 3.37-3.62, 1 Pr 3.76
Pr 0.2020 0.4040 0.0089  2 Tm 3.47-3.76, 8 Nd 3.53-3.88, 2 Tb 3.71
Pr 0.7980 0.5960 0.5089  2 Tm 3.47-3.76, 8 Nd 3.53-3.88, 2 Tb 3.71

Record 4
Density functional theory data (PBE) for a geometry-optimized Tb3Pr6NdTm2 structure.

Results
The space-group type is No. 12. Its total magnetization is 0.0000 μB/atom. For the calculated formation energy, the calculation gives 0.2 eV/f.u.

a = 6.3179 Å, b = 6.3179 Å, c = 11.9363 Å
α = 95.05°, β = 95.05°, γ = 120.00°
With the nearest neighbours (Å) after each atom.
Positions (direct):
Tb 0.5000 0.5000 0.5000  6 Pr 3.62, 6 Tb 3.65
Tb 0.1668 0.8332 0.5000  6 Pr 3.61-3.62, 6 Tb 3.65
Tb 0.8332 0.1668 0.5000  6 Pr 3.61-3.62, 6 Tb 3.65
Pr 0.9162 0.5819 0.7500  3 Tb 3.61-3.62, 2 Tm 3.61, 1 Nd 3.62, 6 Pr 3.64-3.66
Pr 0.4181 0.0838 0.2500  3 Tb 3.61-3.62, 2 Tm 3.61, 1 Nd 3.62, 6 Pr 3.64-3.66
Pr 0.0838 0.4181 0.2500  3 Tb 3.61-3.62, 2 Tm 3.61, 1 Nd 3.62, 6 Pr 3.64-3.66
Pr 0.2504 0.2504 0.7503  2 Tm 3.61, 1 Nd 3.61, 3 Tb 3.62, 6 Pr 3.64-3.66
Pr 0.5819 0.9162 0.7500  3 Tb 3.61-3.62, 2 Tm 3.61, 1 Nd 3.62, 6 Pr 3.64-3.66
Pr 0.7496 0.7496 0.2497  2 Tm 3.61, 1 Nd 3.61, 3 Tb 3.62, 6 Pr 3.64-3.66
Nd 0.0000 0.0000 0.0000  6 Pr 3.61-3.62, 6 Tm 3.65
Tm 0.6665 0.3335 0.0000  6 Pr 3.61, 3 Tm 3.65, 3 Nd 3.65
Tm 0.3335 0.6665 0.0000  6 Pr 3.61, 3 Tm 3.65, 3 Nd 3.65

Record 5
Density functional theory data (PBE) for a geometry-optimized Tb2Pr6NdTm3 structure.

Results
The space-group type is No. 12. Its total magnetization is 0.0000 μB/atom. For the calculated formation energy, the calculation gives 0.2 eV/f.u.

a = 6.3105 Å, b = 6.3105 Å, c = 11.8974 Å
α = 95.06°, β = 95.06°, γ = 120.00°
With the nearest neighbours (Å) after each atom.
Positions (direct):
Pr 0.0847 0.4186 0.2533  3 Tm 3.57, 2 Tb 3.63-3.64, 1 Nd 3.64, 6 Pr 3.64-3.65
Pr 0.4186 0.0847 0.2533  3 Tm 3.57, 2 Tb 3.63-3.64, 1 Nd 3.64, 6 Pr 3.64-3.65
Pr 0.2491 0.2491 0.7467  3 Tm 3.57-3.58, 2 Tb 3.64, 1 Nd 3.64, 6 Pr 3.64-3.65
Pr 0.7509 0.7509 0.2533  3 Tm 3.57-3.58, 2 Tb 3.64, 1 Nd 3.64, 6 Pr 3.64-3.65
Pr 0.5814 0.9153 0.7467  3 Tm 3.57, 2 Tb 3.63-3.64, 1 Nd 3.64, 6 Pr 3.64-3.65
Pr 0.9153 0.5814 0.7467  3 Tm 3.57, 2 Tb 3.63-3.64, 1 Nd 3.64, 6 Pr 3.64-3.65
Nd 0.0000 0.0000 0.0000  6 Pr 3.64, 6 Tb 3.64
Tm 0.8332 0.1668 0.5000  6 Pr 3.57-3.58, 6 Tm 3.64-3.65
Tm 0.5000 0.5000 0.5000  6 Pr 3.57, 6 Tm 3.64
Tm 0.1668 0.8332 0.5000  6 Pr 3.57-3.58, 6 Tm 3.64-3.65
Tb 0.6665 0.3335 0.0000  6 Pr 3.63-3.64, 3 Tb 3.64, 3 Nd 3.64
Tb 0.3335 0.6665 0.0000  6 Pr 3.63-3.64, 3 Tb 3.64, 3 Nd 3.64

Record 6
Density functional theory data (PBE) for a geometry-optimized TbPrNdTm3 structure.

Results
The space-group type is No. 63. Its total magnetization is 0.0000 μB/atom. For the calculated formation energy, the calculation gives 0.7 eV/f.u.

a = 5.8545 Å, b = 6.3805 Å, c = 11.7154 Å
α = 90.00°, β = 90.00°, γ = 117.31°
With the nearest neighbours (Å) after each atom.
Positions (direct):
Tm 0.6726 0.3451 0.4961  3 Tm 3.38-3.41, 1 Tb 3.43, 2 Nd 3.51-3.53, 3 Pr 3.52-3.71
Tm 0.6726 0.3451 0.0039  3 Tm 3.38-3.41, 1 Tb 3.43, 2 Nd 3.51-3.53, 3 Pr 3.52-3.71
Tm 0.3274 0.6549 0.9961  3 Tm 3.38-3.41, 1 Tb 3.43, 2 Nd 3.51-3.53, 3 Pr 3.52-3.71
Tm 0.8288 0.6576 0.2500  2 Tm 3.38, 2 Tb 3.40, 3 Nd 3.49-3.78, 2 Pr 3.51
Tm 0.1712 0.3424 0.7500  2 Tm 3.38, 2 Tb 3.40, 3 Nd 3.49-3.78, 2 Pr 3.51
Tm 0.3274 0.6549 0.5039  3 Tm 3.38-3.41, 1 Tb 3.43, 2 Nd 3.51-3.53, 3 Pr 3.52-3.71
Nd 0.4957 0.9914 0.2500  7 Tm 3.49-3.78, 3 Tb 3.57-3.62
Nd 0.5043 0.0086 0.7500  7 Tm 3.49-3.78, 3 Tb 3.57-3.62
Tb 0.1764 0.3528 0.2500  4 Tm 3.40-3.43, 2 Pr 3.55, 3 Nd 3.57-3.62
Tb 0.8236 0.6472 0.7500  4 Tm 3.40-3.43, 2 Pr 3.55, 3 Nd 3.57-3.62
Pr 0.0000 0.0000 0.0000  8 Tm 3.51-3.71, 2 Tb 3.55
Pr 0.0000 0.0000 0.5000  8 Tm 3.51-3.71, 2 Tb 3.55

Record 7
Density functional theory data (PBE) for a geometry-optimized Tb4PrNdTm2 structure.

Results
The space-group type is No. 15. Its total magnetization is 0.2346 μB/atom. For the calculated formation energy, the calculation gives 3.3 eV/f.u.

a = 9.5189 Å, b = 9.5189 Å, c = 11.8328 Å
α = 128.43°, β = 128.43°, γ = 88.31°
With the nearest neighbours (Å) after each atom.
Positions (direct):
Tb 0.2546 0.2481 0.9966  3 Tm 3.27-3.37, 1 Nd 3.36, 2 Tb 3.41, 2 Pr 3.46-3.47
Tb 0.7427 0.2544 0.9979  3 Tm 3.24-3.42, 2 Tb 3.39-3.43, 1 Pr 3.39, 2 Nd 3.41-3.43
Tb 0.7454 0.7519 0.0034  3 Tm 3.27-3.37, 1 Nd 3.36, 2 Tb 3.41, 2 Pr 3.46-3.47
Tb 0.2519 0.2454 0.5034  3 Tm 3.27-3.37, 1 Nd 3.36, 2 Tb 3.41, 2 Pr 3.46-3.47
Tb 0.7544 0.2427 0.4979  3 Tm 3.24-3.42, 2 Tb 3.39-3.43, 1 Pr 3.39, 2 Nd 3.41-3.43
Tb 0.2456 0.7573 0.5021  3 Tm 3.24-3.42, 2 Tb 3.39-3.43, 1 Pr 3.39, 2 Nd 3.41-3.43
Tb 0.7481 0.7546 0.4966  3 Tm 3.27-3.37, 1 Nd 3.36, 2 Tb 3.41, 2 Pr 3.46-3.47
Tb 0.2573 0.7456 0.0021  3 Tm 3.24-3.42, 2 Tb 3.39-3.43, 1 Pr 3.39, 2 Nd 3.41-3.43
Pr 0.5000 0.5000 0.5000  6 Tb 3.39-3.47, 2 Pr 3.41
Pr 0.0000 0.0000 0.0000  6 Tb 3.39-3.47, 2 Pr 3.41
Nd 0.0000 0.5000 0.0000  6 Tb 3.36-3.43, 2 Tm 3.41
Nd 0.0000 0.5000 0.5000  6 Tb 3.36-3.43, 2 Tm 3.41
Tm 0.0000 0.0000 0.5000  6 Tb 3.24-3.37, 2 Tm 3.41
Tm 0.5000 0.5000 0.0000  6 Tb 3.24-3.37, 2 Tm 3.41
Tm 0.5000 0.0000 0.5000  6 Tb 3.27-3.42, 2 Nd 3.41
Tm 0.5000 0.0000 0.0000  6 Tb 3.27-3.42, 2 Nd 3.41

Record 8
Density functional theory data (PBE) for a geometry-optimized Tb2Pr3NdTm6 structure.

Results
The space-group type is No. 12. Its total magnetization is 0.0000 μB/atom. For the calculated formation energy, the calculation gives 0.2 eV/f.u.

a = 6.2037 Å, b = 6.2037 Å, c = 11.7243 Å
α = 95.04°, β = 95.04°, γ = 119.98°
With the nearest neighbours (Å) after each atom.
Positions (direct):
Tb 0.6667 0.3333 0.0000  6 Tm 3.52-3.53, 3 Tb 3.58, 3 Nd 3.58
Tb 0.3333 0.6667 0.0000  6 Tm 3.52-3.53, 3 Tb 3.58, 3 Nd 3.58
Tm 0.7488 0.7488 0.2474  2 Tb 3.53, 1 Nd 3.53, 3 Pr 3.57-3.58, 6 Tm 3.58-3.59
Tm 0.0826 0.4164 0.2472  2 Tb 3.52, 1 Nd 3.53, 3 Pr 3.57-3.58, 6 Tm 3.58-3.59
Tm 0.4164 0.0826 0.2472  2 Tb 3.52, 1 Nd 3.53, 3 Pr 3.57-3.58, 6 Tm 3.58-3.59
Tm 0.9174 0.5836 0.7528  2 Tb 3.52, 1 Nd 3.53, 3 Pr 3.57-3.58, 6 Tm 3.58-3.59
Tm 0.5836 0.9174 0.7528  2 Tb 3.52, 1 Nd 3.53, 3 Pr 3.57-3.58, 6 Tm 3.58-3.59
Tm 0.2512 0.2512 0.7526  2 Tb 3.53, 1 Nd 3.53, 3 Pr 3.57-3.58, 6 Tm 3.58-3.59
Pr 0.5000 0.5000 0.5000  6 Tm 3.57-3.58, 6 Pr 3.58
Pr 0.1667 0.8333 0.5000  6 Tm 3.57-3.58, 6 Pr 3.58
Pr 0.8333 0.1667 0.5000  6 Tm 3.57-3.58, 6 Pr 3.58
Nd 0.0000 0.0000 0.0000  6 Tm 3.53, 6 Tb 3.58

Record 9
Density functional theory data (PBE) for a geometry-optimized Tb2Pr3Nd6Tm structure.

Results
The space-group type is No. 12. Its total magnetization is 0.0000 μB/atom. For the calculated formation energy, the calculation gives 0.2 eV/f.u.

a = 6.3410 Å, b = 6.3410 Å, c = 12.0798 Å
α = 95.03°, β = 95.03°, γ = 120.02°
With the nearest neighbours (Å) after each atom.
Positions (direct):
Pr 0.8334 0.1666 0.5000  6 Pr 3.66, 6 Nd 3.69-3.70
Pr 0.1666 0.8334 0.5000  6 Pr 3.66, 6 Nd 3.69-3.70
Pr 0.5000 0.5000 0.5000  6 Pr 3.66, 6 Nd 3.70
Nd 0.2507 0.2507 0.7549  1 Tm 3.60, 2 Tb 3.60, 6 Nd 3.65-3.67, 3 Pr 3.69-3.70
Nd 0.7493 0.7493 0.2451  1 Tm 3.60, 2 Tb 3.60, 6 Nd 3.65-3.67, 3 Pr 3.69-3.70
Nd 0.5853 0.9180 0.7552  1 Tm 3.60, 2 Tb 3.60, 6 Nd 3.65-3.67, 3 Pr 3.70
Nd 0.4147 0.0820 0.2448  1 Tm 3.60, 2 Tb 3.60, 6 Nd 3.65-3.67, 3 Pr 3.70
Nd 0.9180 0.5853 0.7552  1 Tm 3.60, 2 Tb 3.60, 6 Nd 3.65-3.67, 3 Pr 3.70
Nd 0.0820 0.4147 0.2448  1 Tm 3.60, 2 Tb 3.60, 6 Nd 3.65-3.67, 3 Pr 3.70
Tm 0.0000 0.0000 0.0000  6 Nd 3.60, 6 Tb 3.66
Tb 0.6667 0.3333 0.0000  6 Nd 3.60, 3 Tm 3.66, 3 Tb 3.66
Tb 0.3333 0.6667 0.0000  6 Nd 3.60, 3 Tm 3.66, 3 Tb 3.66

> Which of these has the highest calculated formation energy?

Tb4PrNdTm2